CeZnHg2 after structural relaxation, computed with PBE.

```
CeZnHg2
1.0
4.549 0.000 0.000
0.000 4.660 0.000
0.000 0.000 4.660
Ce Hg Zn
1 2 1
Direct
0.500 0.500 0.500
0.000 0.500 0.000
0.000 0.000 0.500
0.500 0.000 0.000
```

## Properties
Formation enthalpy at 0 K = -0.16 eV per atom
Space-group type = P4/mmm (123)
Total magnetization = 1.6 μB/f.u.

Ce6ZnHg3 after structural relaxation, computed with PBE.

```
Ce6ZnHg3
1.0
-2.914 -0.664 -7.610
5.045 -1.523 -3.390
0.841 -6.053 -1.385
Ce Hg Zn
6 3 1
Direct
0.907 0.354 0.354
0.348 0.633 0.058
0.652 0.367 0.942
0.652 0.942 0.367
0.093 0.646 0.646
0.348 0.058 0.633
0.713 0.873 0.873
0.000 0.000 0.000
0.287 0.127 0.127
0.500 0.500 0.500
```

## Properties
Formation enthalpy at 0 K = -0.08 eV per atom
Space-group type = C2/m (12)
Total magnetization = 5.1 μB/f.u.